! LaNiSn (GGA-PBE, optimized geometry); values from VASP
&SYSTEM
  ibrav = 0, nat = 3, ntyp = 3
/
ATOMIC_SPECIES
Ni 58.69 Ni.upf
Sn 118.71 Sn.upf
La 138.91 La.upf
ATOMIC_POSITIONS crystal
Ni 0.1667 0.0000 0.0000
Sn 0.1667 0.3333 0.6667
La 0.6667 0.6667 0.3333
CELL_PARAMETERS angstrom
-2.2532 -1.8781 2.6588
3.5790 -0.2683 2.8435
-2.8017 3.6172 0.1809
! space-group type = No. 187
! formation enthalpy at 0 K = -0.5920 eV per atom
! energy = -5.50 eV per atom